The following is a PBE calculation of crystalline LaNdGdAl at its relaxed geometry, from Alexandria.

Unit cell a=7.795 b=7.795 c=7.795 alpha=90.00 beta=90.00 gamma=90.00
Space group F-43m (No. 216)
Unique sites:
La 0.000 0.000 0.000 (multiplicity 4)
Nd 0.000 0.000 0.500 (multiplicity 4)
Gd 0.250 0.250 0.250 (multiplicity 4)
Al 0.250 0.250 0.750 (multiplicity 4)

**Total energy**: -6.9618 eV per atom
**E_form**: -82 meV/atom